No. 1
Below is a relaxed Pr4SmHo2Th crystal, with properties calculated at the GGA-PBE level.

Cell and atoms, written as extended XYZ:
```
8
Lattice="5.1365 0.0000 0.0000 0.0000 5.1474 0.0000 0.0000 0.0000 10.3222" Properties=species:S:1:pos:R:3 pbc="T T T"
Pr 0.0000 0.0000 2.5433
Pr 0.0000 0.0000 7.7789
Pr 2.5682 2.5737 2.5545
Pr 2.5682 2.5737 7.7677
Sm 2.5682 0.0000 5.1611
Ho 0.0000 2.5737 5.1611
Ho 2.5682 0.0000 0.0000
Th 0.0000 2.5737 0.0000
```

- Space-group type: Pmmm
- Formation enthalpy at 0 K: 4 kJ/mol of atoms
- DOS(E_F): 1.51 states/eV per atom
- Spin magnetization: 0.0 μB per formula unit

***

No. 2
Below is a relaxed PIrWCl2 crystal, with properties calculated at the GGA-PBE level.

Cell and atoms, written as extended XYZ:
```
5
Lattice="4.5596 0.0000 0.0000 0.0000 4.5596 0.0000 0.0000 0.0000 5.0017" Properties=species:S:1:pos:R:3 pbc="T T T"
P 0.0000 0.0000 0.0000
Ir 2.2798 2.2798 0.0000
W 0.0000 0.0000 2.5008
Cl 0.0000 2.2798 2.5008
Cl 2.2798 0.0000 2.5008
```

- Space-group type: P4/mmm
- DOS(E_F): 1.77 states/eV per atom
- Spin magnetization: 1.5 μB per formula unit
- Formation energy without anion corrections: 1185 meV/atom
- ΔE to the lowest computed polymorph: 0.0 meV/atom

***

No. 3
Below is a relaxed Tm2Pb2S crystal, with properties calculated at the GGA-PBE level.

Cell and atoms, written as extended XYZ:
```
5
Lattice="3.1818 -1.8376 0.0000 3.1818 1.8376 0.0000 -2.0956 0.0000 11.3426" Properties=species:S:1:pos:R:3 pbc="T T T"
Tm 1.0605 0.0000 1.6343
Tm 3.2074 0.0000 9.7084
Pb -1.0143 0.0000 7.2299
Pb 5.2822 0.0000 4.1127
S 3.1818 0.0000 0.0000
```

- Space-group type: C2/m
- DOS(E_F): 0.43 states/eV per atom
- Spin magnetization: 0.0 μB per formula unit
- Formation energy without anion corrections: -861 meV/atom

***

No. 4
Below is a relaxed TiAlV3 crystal, with properties calculated at the GGA-PBE level.

Cell and atoms, written as extended XYZ:
```
5
Lattice="4.3968 0.0000 0.0000 0.0000 4.3968 0.0000 0.0000 0.0000 4.3968" Properties=species:S:1:pos:R:3 pbc="T T T"
Ti 0.0000 0.0000 0.0000
Al 2.1984 2.1984 2.1984
V 0.0000 0.0000 2.1984
V 0.0000 2.1984 0.0000
V 2.1984 0.0000 0.0000
```

- Space-group type: Pm-3m
- Formation enthalpy at 0 K: 104 kJ/mol of atoms
- DOS(E_F): 1.84 states/eV per atom
- Spin magnetization: 0.0 μB per formula unit
- ΔE to the lowest computed polymorph: 1077.5 meV/atom